Version one
DFT (GGA-PBE) results for a geometry-optimized Cu2Ag structure.

extended XYZ file:
```
9
Lattice="-3.173 -4.345 4.483 -0.717 -5.593 4.153 3.573 6.380 2.477" Properties=species:S:1:pos:R:3 pbc="T T T"
Ag -2.525 -6.478 5.708
Ag -1.014 -3.492 5.664
Ag 2.278 3.077 5.332
Cu -2.221 -6.642 8.588
Cu 0.342 -0.108 2.959
Cu -0.670 -3.523 8.346
Cu 0.641 -0.183 5.469
Cu 1.954 3.164 2.581
Cu -0.368 -3.609 10.918
```

Values from the calculation:
SG   Cm, No. 8

Version two
DFT (GGA-PBE) results for a geometry-optimized Cu2Ag structure.

extended XYZ file:
```
9
Lattice="-3.649 -2.449 -1.626 -2.402 -4.016 0.244 -2.914 7.176 7.957" Properties=species:S:1:pos:R:3 pbc="T T T"
Ag -2.943 0.218 2.145
Ag -5.897 0.467 4.324
Ag -5.081 2.731 5.678
Cu -0.100 0.056 0.114
Cu -4.986 -4.264 -0.248
Cu -3.916 -1.975 0.957
Cu -1.936 2.394 3.298
Cu -6.896 -1.722 3.157
Cu -4.105 4.939 6.878
```

Values from the calculation:
SG   Cm, No. 8

What should be chosen as the most stable of them? Choose version two.

Version one
DFT (GGA-PBE) results for a geometry-optimized Ta7Al5 structure.

extended XYZ file:
```
24
Lattice="-1.349 -3.119 4.015 1.593 -2.108 -4.548 16.199 0.188 5.588" Properties=species:S:1:pos:R:3 pbc="T T T"
Al -0.674 -1.559 2.007
Al 0.797 -1.054 -2.274
Al 0.122 -2.613 -0.266
Al 2.600 -2.422 -1.008
Al 6.725 -2.374 0.415
Al 7.425 -1.465 4.801
Al 8.896 -0.960 0.520
Al 8.222 -2.519 2.527
Al 9.719 -2.665 4.640
Al 13.844 -2.617 6.063
Ta 1.480 0.017 0.511
Ta 2.104 -2.753 2.013
Ta 4.350 -1.152 0.566
Ta 5.162 -2.226 -1.751
Ta 4.475 -3.815 0.295
Ta 5.259 -2.716 3.102
Ta 6.619 0.077 2.283
Ta 9.580 0.111 3.305
Ta 11.184 -2.322 1.953
Ta 11.969 -1.223 4.760
Ta 11.282 -2.812 6.806
Ta 12.094 -3.887 4.488
Ta 14.340 -2.285 3.041
Ta 14.719 0.171 5.077
```

Values from the calculation:
SG   P6_3/mmc, No. 194
Magnetization   0.01 μB/cell

Version two
DFT (GGA-PBE) results for a geometry-optimized Ta7Al5 structure.

extended XYZ file:
```
24
Lattice="-0.824 4.125 -3.382 -4.128 -2.056 2.805 3.161 11.131 12.809" Properties=species:S:1:pos:R:3 pbc="T T T"
Al -1.478 3.638 0.491
Al -0.642 2.785 3.554
Al -2.816 1.702 5.031
Al -3.250 3.875 3.250
Al -0.791 6.058 3.275
Al -0.999 7.143 8.957
Al 1.459 9.326 8.982
Al 1.026 11.498 7.201
Al -1.148 10.416 8.678
Al -0.312 9.563 11.742
Ta -0.412 2.063 -1.691
Ta -2.064 -1.028 1.403
Ta -2.476 1.035 -0.288
Ta 0.313 1.103 1.269
Ta -2.615 1.455 2.412
Ta -1.858 4.120 5.478
Ta 1.267 4.463 5.136
Ta 1.169 7.628 4.714
Ta -0.484 4.538 7.807
Ta -0.895 6.600 6.116
Ta 1.894 6.668 7.673
Ta 0.067 9.081 6.754
Ta 0.824 11.746 9.821
Ta 2.848 10.028 11.540
```

Values from the calculation:
SG   P6_3/mmc, No. 194
Magnetization   0.00 μB/cell

What should be chosen as the most stable of them? Choose version one.

Version one
DFT (GGA-PBE) results for a geometry-optimized Cu2Ag3 structure.

extended XYZ file:
```
10
Lattice="7.509 -1.423 0.000 7.509 1.423 0.000 -1.942 0.000 7.301" Properties=species:S:1:pos:R:3 pbc="T T T"
Ag 2.817 0.000 0.584
Ag 8.370 0.000 2.078
Ag 11.276 0.000 2.946
Ag 13.980 0.000 3.706
Ag 1.727 0.000 4.494
Ag 10.468 0.000 6.620
Cu 5.730 0.000 1.440
Cu 4.724 0.000 5.197
Cu 7.258 0.000 5.890
Cu 13.076 0.000 7.204
```

Values from the calculation:
SG   Cm, No. 8

Version two
DFT (GGA-PBE) results for a geometry-optimized Cu2Ag3 structure.

extended XYZ file:
```
10
Lattice="-7.327 6.867 -1.397 6.016 -6.351 5.124 2.615 2.896 0.519" Properties=species:S:1:pos:R:3 pbc="T T T"
Ag -3.333 4.282 0.365
Ag -0.653 1.628 1.675
Ag 4.723 -3.698 4.302
Ag -3.419 7.110 -0.056
Ag 1.958 1.784 2.571
Ag 4.637 -0.870 3.881
Cu -6.020 6.943 -0.948
Cu 1.948 -0.950 2.946
Cu -0.644 4.362 1.300
Cu 7.324 -3.531 5.194
```

Values from the calculation:
SG   Cmcm, No. 63

Version three
DFT (GGA-PBE) results for a geometry-optimized Cu2Ag3 structure.

extended XYZ file:
```
10
Lattice="-5.679 2.349 -0.197 -4.963 2.118 -2.950 -1.746 -9.205 0.318" Properties=species:S:1:pos:R:3 pbc="T T T"
Ag 0.000 0.000 0.000
Ag -7.754 2.178 -2.203
Ag -1.645 -2.343 -0.232
Ag -6.194 -2.369 -1.414
Ag -10.743 -2.395 -2.597
Ag -4.635 -6.916 -0.626
Cu -4.650 -0.159 -1.198
Cu -9.237 -0.128 -2.395
Cu -3.151 -4.610 -0.434
Cu -7.738 -4.579 -1.631
```

Values from the calculation:
SG   C2/m, No. 12

What should be chosen as the most stable of them? Choose version one.

Version one
DFT (GGA-PBE) results for a geometry-optimized Cu2Ag3 structure.

extended XYZ file:
```
10
Lattice="7.646 -1.428 0.000 7.646 1.428 0.000 -1.758 0.000 7.115" Properties=species:S:1:pos:R:3 pbc="T T T"
Ag 9.074 0.000 0.123
Ag 2.440 0.000 2.420
Ag 5.386 0.000 2.994
Ag 8.148 0.000 4.122
Ag 11.095 0.000 4.695
Ag 4.461 0.000 6.992
Cu 11.856 0.000 0.961
Cu -0.237 0.000 1.866
Cu 13.771 0.000 5.250
Cu 1.679 0.000 6.155
```

Values from the calculation:
SG   C2/m, No. 12

Version two
DFT (GGA-PBE) results for a geometry-optimized Cu2Ag3 structure.

extended XYZ file:
```
10
Lattice="2.413 -7.039 0.000 2.413 7.039 0.000 -1.565 0.000 4.572" Properties=species:S:1:pos:R:3 pbc="T T T"
Ag 2.022 -6.242 1.143
Ag 2.022 -0.766 1.143
Ag 2.022 4.765 1.143
Ag 1.240 -4.765 3.429
Ag 1.240 0.766 3.429
Ag 1.240 6.242 3.429
Cu 2.022 -3.510 1.143
Cu 2.022 2.155 1.143
Cu 1.240 -2.155 3.429
Cu 1.240 3.510 3.429
```

Values from the calculation:
SG   C2/c, No. 15

Version three
DFT (GGA-PBE) results for a geometry-optimized Cu2Ag3 structure.

extended XYZ file:
```
10
Lattice="-2.828 0.201 -0.459 -0.404 -2.470 1.409 -1.933 9.485 16.074" Properties=species:S:1:pos:R:3 pbc="T T T"
Ag -1.616 -1.134 0.475
Ag -0.219 1.076 1.823
Ag -2.056 1.024 4.132
Ag -0.967 4.742 8.037
Ag -3.109 6.192 12.891
Ag -1.714 8.409 14.251
Cu -0.628 3.081 5.221
Cu -2.394 2.682 6.943
Cu -2.771 4.534 10.081
Cu -1.305 6.404 10.853
```

Values from the calculation:
SG   P4/mmm, No. 123

What should be chosen as the most stable of them? Choose version three.

Version one
DFT (GGA-PBE) results for a geometry-optimized Cu2Ag3 structure.

extended XYZ file:
```
10
Lattice="1.430 0.825 22.221 -1.430 0.825 22.221 0.000 -1.651 22.221" Properties=species:S:1:pos:R:3 pbc="T T T"
Ag 0.000 0.000 9.899
Ag 0.000 0.000 23.446
Ag 0.000 0.000 29.682
Ag 0.000 0.000 36.979
Ag 0.000 0.000 43.216
Ag 0.000 0.000 56.763
Cu 0.000 0.000 3.396
Cu 0.000 0.000 16.936
Cu 0.000 0.000 49.725
Cu 0.000 0.000 63.266
```

Values from the calculation:
SG   R-3m, No. 166

Version two
DFT (GGA-PBE) results for a geometry-optimized Cu2Ag3 structure.

extended XYZ file:
```
10
Lattice="7.199 -1.949 0.000 7.199 1.949 0.000 -1.125 0.000 5.552" Properties=species:S:1:pos:R:3 pbc="T T T"
Ag 2.833 0.000 0.566
Ag 5.522 0.000 1.073
Ag 8.346 0.000 1.679
Ag 13.820 0.000 2.785
Ag 4.880 0.000 3.886
Ag 7.779 0.000 4.450
Cu 11.007 0.000 2.277
Cu 2.281 0.000 3.349
Cu 10.503 0.000 4.934
Cu 13.227 0.000 5.535
```

Values from the calculation:
SG   Cm, No. 8

What should be chosen as the most stable of them? Choose version one.

Version one
DFT (GGA-PBE) results for a geometry-optimized BaZrCuAu structure.

extended XYZ file:
```
4
Lattice="3.033 -1.667 3.847 -0.783 -4.677 2.071 3.399 -3.808 -0.850" Properties=species:S:1:pos:R:3 pbc="T T T"
Au 4.237 -7.614 3.801
Ba 2.825 -5.076 2.534
Cu 1.412 -2.538 1.267
Zr 0.000 0.000 0.000
```

Values from the calculation:
SG   F-43m, No. 216
Magnetization   0.19 μB/cell

Version two
DFT (GGA-PBE) results for a geometry-optimized BaZrCuAu structure.

extended XYZ file:
```
4
Lattice="0.000 3.501 3.501 3.501 0.000 3.501 3.501 3.501 0.000" Properties=species:S:1:pos:R:3 pbc="T T T"
Au 5.252 5.252 5.252
Ba 1.751 1.751 1.751
Cu 3.501 3.501 3.501
Zr 0.000 0.000 0.000
```

Values from the calculation:
SG   F-43m, No. 216
Magnetization   0.00 μB/cell

What should be chosen as the most stable of them? Choose version one.

Version one
DFT (GGA-PBE) results for a geometry-optimized Tm structure.

extended XYZ file:
```
1
Lattice="1.960 1.960 1.960 1.960 -1.960 -1.960 -1.960 1.960 -1.960" Properties=species:S:1:pos:R:3 pbc="T T T"
Tm 0.000 0.000 0.000
```

Values from the calculation:
SG   Im-3m, No. 229
Magnetization   0.07 μB/cell

Version two
DFT (GGA-PBE) results for a geometry-optimized Tm structure.

extended XYZ file:
```
2
Lattice="-0.931 -1.554 3.043 3.013 -0.928 -1.613 2.711 3.897 2.820" Properties=species:S:1:pos:R:3 pbc="T T T"
Tm 2.376 -0.163 0.644
Tm 2.416 1.577 3.606
```

Values from the calculation:
SG   P6_3/mmc, No. 194
Magnetization   0.02 μB/cell

What should be chosen as the most stable of them? Choose version two.

Version one
DFT (GGA-PBE) results for a geometry-optimized TaAlOs2 structure.

extended XYZ file:
```
8
Lattice="2.111 -3.657 0.000 2.111 3.657 0.000 0.000 0.000 8.397" Properties=species:S:1:pos:R:3 pbc="T T T"
Al 0.000 0.000 0.000
Al 0.000 0.000 4.198
Os 2.111 -1.219 0.855
Os 2.111 -1.219 3.343
Os 2.111 1.219 5.053
Os 2.111 1.219 7.542
Ta 2.111 1.219 2.099
Ta 2.111 -1.219 6.297
```

Values from the calculation:
SG   P6_3/mmc, No. 194
Magnetization   0.01 μB/cell

Version two
DFT (GGA-PBE) results for a geometry-optimized TaAlOs2 structure.

extended XYZ file:
```
16
Lattice="-1.535 -5.155 -1.441 2.834 1.198 -7.302 4.974 -1.932 1.614" Properties=species:S:1:pos:R:3 pbc="T T T"
Al 0.453 -2.038 -2.308
Al 2.801 -4.676 -6.129
Al 3.473 -1.213 -1.001
Al 5.821 -3.851 -4.822
Os 1.354 -3.284 -4.403
Os 2.712 -2.710 -7.900
Os 1.279 -1.528 0.155
Os 2.636 -0.954 -3.342
Os 3.637 -4.935 -3.788
Os 4.995 -4.361 -7.285
Os 3.562 -3.179 0.770
Os 4.919 -2.606 -2.727
Ta -0.521 -4.520 -3.093
Ta 3.783 -2.166 -5.336
Ta 2.491 -3.723 -1.793
Ta 6.794 -1.369 -4.037
```

Values from the calculation:
SG   Pnma, No. 62
Magnetization   0.01 μB/cell

What should be chosen as the most stable of them? Choose version one.